Record 1
! PBE-GGA TiNiB3, relaxed; values from VASP
! DFT total energy, eV/atom: -6.13
! ρ, g/cm³: 4.52
! D(E_F), states/eV/cell: 1.96
&SYSTEM
  ibrav = 0, nat = 5, ntyp = 3
/
ATOMIC_SPECIES
Ni 58.69 Ni.upf
B 10.81 B.upf
Ti 47.87 Ti.upf
CELL_PARAMETERS angstrom
-2.315 1.901 2.187
1.091 -2.021 2.912
2.684 2.461 0.703
ATOMIC_POSITIONS crystal
Ni 0.000 0.000 0.000
B 0.000 0.500 0.000
B 0.000 0.000 0.500
B 0.500 0.000 0.000
Ti 0.500 0.500 0.500


Record 2
! PBE-GGA Nd3HoTl2, relaxed; values from VASP
! Energy above the lowest structure with this stoichiometry, meV per atom: 0
! DFT total energy, eV/atom: -4.20
! ρ, g/cm³: 9.02
! D(E_F), states/eV/cell: 13.17
&SYSTEM
  ibrav = 0, nat = 12, ntyp = 3
/
ATOMIC_SPECIES
Nd 144.24 Nd.upf
Ho 164.93 Ho.upf
Tl 204.38 Tl.upf
CELL_PARAMETERS angstrom
-3.657 3.749 0.040
-1.961 -1.846 -6.312
-6.767 -6.643 4.045
ATOMIC_POSITIONS crystal
Nd 0.000 0.452 0.961
Nd 0.000 0.952 0.039
Nd 0.500 0.685 0.189
Nd 0.500 0.185 0.811
Nd 0.000 0.316 0.322
Nd 0.000 0.816 0.678
Ho 0.500 0.543 0.540
Ho 0.500 0.043 0.460
Tl 0.500 0.707 0.861
Tl 0.500 0.207 0.139
Tl 0.000 0.297 0.635
Tl 0.000 0.797 0.365


Record 3
! PBE-GGA KTl2Co, relaxed; values from VASP
! DFT total energy, eV/atom: -2.82
! ρ, g/cm³: 7.67
! D(E_F), states/eV/cell: 5.27
&SYSTEM
  ibrav = 0, nat = 4, ntyp = 3
/
ATOMIC_SPECIES
Co 58.93 Co.upf
K 39.10 K.upf
Tl 204.38 Tl.upf
CELL_PARAMETERS angstrom
-4.947 0.913 4.136
-5.974 -0.486 -2.549
5.720 -2.641 1.648
ATOMIC_POSITIONS crystal
Co 0.750 0.250 0.500
K 0.250 0.750 0.500
Tl 0.945 0.945 0.000
Tl 0.555 0.555 0.000


Record 4
! PBE-GGA K2SrSc3F12, relaxed; values from VASP
! E_form (uncorrected), eV per atom: -3.59
! DFT total energy, eV/atom: -6.11
! ρ, g/cm³: 2.84
! D(E_F), states/eV/cell: 2.50
&SYSTEM
  ibrav = 0, nat = 18, ntyp = 4
/
ATOMIC_SPECIES
K 39.10 K.upf
Sr 87.62 Sr.upf
Sc 44.96 Sc.upf
F 19.00 F.upf
CELL_PARAMETERS angstrom
-3.790 5.540 3.308
-6.761 -1.538 2.816
-0.763 -0.197 7.442
ATOMIC_POSITIONS crystal
K 0.627 0.627 0.627
K 0.373 0.373 0.373
Sr 0.000 0.000 0.000
Sc 0.500 0.000 0.000
Sc 0.000 0.500 0.000
Sc 0.000 0.000 0.500
F 0.279 0.279 0.874
F 0.877 0.877 0.408
F 0.408 0.877 0.877
F 0.874 0.279 0.279
F 0.877 0.408 0.877
F 0.279 0.874 0.279
F 0.721 0.721 0.126
F 0.123 0.123 0.592
F 0.592 0.123 0.123
F 0.126 0.721 0.721
F 0.123 0.592 0.123
F 0.721 0.126 0.721


Record 5
! PBE-GGA NaNb2TcAg, relaxed; values from VASP
! DFT total energy, eV/atom: -5.76
! ρ, g/cm³: 5.70
! D(E_F), states/eV/cell: 4.69
&SYSTEM
  ibrav = 0, nat = 5, ntyp = 4
/
ATOMIC_SPECIES
Na 22.99 Na.upf
Nb 92.91 Nb.upf
Tc 98.00 Tc.upf
Ag 107.87 Ag.upf
CELL_PARAMETERS angstrom
-3.694 -0.868 2.841
-2.927 -1.481 -4.258
1.470 -4.473 0.545
ATOMIC_POSITIONS crystal
Na 0.000 0.500 0.000
Nb 0.000 0.000 0.500
Nb 0.500 0.000 0.000
Tc 0.000 0.000 0.000
Ag 0.500 0.500 0.500


Record 6
! PBE-GGA Nd2HgPbO5, relaxed; values from VASP
! E_form (uncorrected), eV per atom: -1.86
! DFT total energy, eV/atom: -6.12
! ρ, g/cm³: 8.52
! D(E_F), states/eV/cell: 4.34
&SYSTEM
  ibrav = 0, nat = 18, ntyp = 4
/
ATOMIC_SPECIES
Nd 144.24 Nd.upf
Hg 200.59 Hg.upf
Pb 207.20 Pb.upf
O 16.00 O.upf
CELL_PARAMETERS angstrom
6.359 0.000 0.000
0.000 6.900 0.000
0.000 0.000 6.900
ATOMIC_POSITIONS crystal
Nd 0.500 0.679 0.179
Nd 0.500 0.179 0.321
Nd 0.500 0.821 0.679
Nd 0.500 0.321 0.821
Hg 0.000 0.500 0.500
Hg 0.000 0.000 0.000
Pb 0.000 0.000 0.500
Pb 0.000 0.500 0.000
O 0.500 0.500 0.500
O 0.500 0.000 0.000
O 0.270 0.133 0.633
O 0.270 0.867 0.367
O 0.270 0.367 0.133
O 0.270 0.633 0.867
O 0.730 0.133 0.633
O 0.730 0.633 0.867
O 0.730 0.867 0.367
O 0.730 0.367 0.133